Entry from Alexandria: a geometry-optimized In2CoS2O2 structure (PBE+U).

## Properties
Mass density   4.67 Mg/m³
V   19.5 Å³ per atom
DOS at the Fermi energy   4.73 states/eV/f.u.
E   -3.956 eV per atom
SG   No. 139

a = 9.1035 Å, b = 9.1035 Å, c = 9.1035 Å
α = 154.80°, β = 154.80°, γ = 35.95°
Atoms (fractional coordinates):
In1 0.2500 0.7500 0.5000
In2 0.7500 0.2500 0.5000
Co1 0.0000 0.0000 0.0000
S1 0.1362 0.1362 0.0000
S2 0.8638 0.8638 0.0000
O1 0.0000 0.5000 0.5000
O2 0.5000 0.0000 0.5000